Record 1
8
Lattice="3.284 0.000 0.000 0.000 5.300 0.000 0.000 0.000 11.648" Properties=species:S:1:pos:R:3 comment="Tl2AgAs | Alexandria | PBE | relaxed" density_g_cm3=9.69 relative_energy_ev_per_atom=0.1322 ef_ev_per_atom=0.145 dos_ef_per_ev_cell=3.9 spacegroup="Imm2, No. 44" final_energy_ev_per_cell=-23.309 pbc="T T T"
Tl 0.000 0.000 0.000
Tl 0.000 2.650 2.256
Tl 1.642 0.000 8.080
Tl 1.642 2.650 5.824
Ag 0.000 2.650 8.697
Ag 1.642 0.000 2.873
As 0.000 0.000 5.012
As 1.642 2.650 10.836

***

Record 2
4
Lattice="2.667 0.000 0.000 0.000 2.667 0.000 0.000 0.000 8.073" Properties=species:S:1:pos:R:3 comment="LiTc2Ru | Alexandria | PBE | relaxed" density_g_cm3=8.79 relative_energy_ev_per_atom=0.1364 ef_ev_per_atom=0.303 dos_ef_per_ev_cell=3.9 spacegroup="P4/mmm, No. 123" final_energy_ev_per_cell=-30.712 pbc="T T T"
Li 0.000 0.000 0.000
Tc 1.333 1.333 2.099
Tc 1.333 1.333 5.974
Ru 0.000 0.000 4.036

***

Record 3
14
Lattice="4.857 0.000 0.000 0.000 5.000 0.000 0.000 0.000 16.465" Properties=species:S:1:pos:R:3 comment="Pm3HoBi2C | Alexandria | PBE | relaxed" density_g_cm3=8.55 ef_ev_per_atom=-0.646 dos_ef_per_ev_cell=12.3 spacegroup="Immm, No. 71" final_energy_ev_per_cell=-80.673 pbc="T T T"
Pm 0.000 0.000 0.000
Pm 0.000 2.500 2.562
Pm 0.000 2.500 13.903
Pm 2.429 0.000 5.670
Pm 2.429 0.000 10.795
Pm 2.429 2.500 8.233
Ho 0.000 0.000 8.233
Ho 2.429 2.500 0.000
Bi 0.000 2.500 5.896
Bi 0.000 2.500 10.569
Bi 2.429 0.000 2.337
Bi 2.429 0.000 14.129
C 0.000 2.500 0.000
C 2.429 0.000 8.233

***

Record 4
20
Lattice="5.904 0.000 0.000 0.000 7.442 0.000 -4.900 0.000 8.912" Properties=species:S:1:pos:R:3 comment="Zr6Pd3C | Alexandria | PBE | relaxed" density_g_cm3=7.45 ef_ev_per_atom=-0.462 dos_ef_per_ev_cell=15.9 spacegroup="P2_1/c, No. 14" final_energy_ev_per_cell=-161.428 pbc="T T T"
Zr -0.741 0.413 2.115
Zr -3.191 3.308 6.571
Zr 0.872 5.433 0.626
Zr -1.578 5.730 5.082
Zr 1.984 1.088 0.393
Zr -0.466 2.633 4.849
Zr 1.470 4.809 4.063
Zr -0.980 6.354 8.519
Zr 2.582 1.712 3.830
Zr 0.132 2.009 8.285
Zr 4.195 4.134 2.341
Zr 1.745 7.030 6.797
Pd -1.628 0.739 6.426
Pd 0.822 2.982 1.970
Pd 0.502 0.000 4.456
Pd 2.952 3.721 0.000
Pd 0.183 4.460 6.941
Pd 2.633 6.703 2.485
C 0.000 0.000 0.000
C -2.450 3.721 4.456

***

Record 5
20
Lattice="6.016 3.473 4.803 -6.016 3.473 4.803 0.000 -6.947 4.803" Properties=species:S:1:pos:R:3 comment="Na3FeBr6 | Alexandria | PBE | relaxed" density_g_cm3=3.33 relative_energy_ev_per_atom=0.0121 spacegroup="R-3, No. 148" final_energy_ev_per_cell=-66.414 e_form_raw_kj_per_mol_atoms=-103.72 pbc="T T T"
Na -4.041 -1.215 6.751
Na -0.969 -4.107 7.659
Na -3.073 2.893 7.659
Na 3.073 -2.893 6.751
Na 0.969 4.107 6.751
Na 4.041 1.215 7.659
Fe 0.000 0.000 0.000
Fe 0.000 0.000 7.205
Br -3.954 -3.831 8.102
Br -5.295 1.509 6.308
Br -1.234 -1.744 5.745
Br 1.341 -5.340 6.308
Br -0.893 1.941 5.745
Br -2.127 0.197 8.665
Br 2.127 -0.197 5.745
Br 0.893 -1.941 8.665
Br -1.341 5.340 8.102
Br 1.234 1.744 8.665
Br 5.295 -1.509 8.102
Br 3.954 3.831 6.308

***

Record 6
12
Lattice="3.157 0.000 0.000 -1.579 2.734 0.000 0.000 0.000 32.798" Properties=species:S:1:pos:R:3 comment="Na2TlPt | Alexandria | PBE | relaxed" density_g_cm3=7.84 ef_ev_per_atom=0.070 dos_ef_per_ev_cell=6.0 spacegroup="R-3m, No. 166" final_energy_ev_per_cell=-32.295 pbc="T T T"
Na 0.000 0.000 3.223
Na 0.000 0.000 29.574
Na 0.000 1.823 18.642
Na 0.000 1.823 25.088
Na 1.579 0.911 7.709
Na 1.579 0.911 14.156
Tl 0.000 0.000 0.000
Tl 0.000 1.823 21.865
Tl 1.579 0.911 10.932
Pt 0.000 0.000 16.399
Pt 0.000 1.823 5.466
Pt 1.579 0.911 27.331

***

Record 7
4
Lattice="2.918 0.000 0.000 -1.459 2.527 0.000 0.000 0.000 11.767" Properties=species:S:1:pos:R:3 comment="Cd3Si | Alexandria | PBE | relaxed" density_g_cm3=6.99 relative_energy_ev_per_atom=0.0405 dos_ef_per_ev_cell=1.6 spacegroup="P-6m2, No. 187" final_energy_ev_per_cell=-7.180 e_form_raw_kj_per_mol_atoms=23.84 pbc="T T T"
Cd 0.000 0.000 0.000
Cd 0.000 1.685 3.124
Cd 0.000 1.685 8.643
Si 0.000 0.000 5.883

***

Record 8
3
Lattice="4.171 0.000 0.000 -2.086 3.612 0.000 0.000 0.000 3.213" Properties=species:S:1:pos:R:3 comment="NiTeRu | Alexandria | PBE | relaxed" density_g_cm3=9.86 relative_energy_ev_per_atom=0.1749 dos_ef_per_ev_cell=2.3 spacegroup="P3m1, No. 156" final_energy_ev_per_cell=-17.233 e_form_raw_kj_per_mol_atoms=31.08 pbc="T T T"
Ni 0.000 0.000 0.000
Te 2.086 1.204 2.480
Ru 0.000 2.408 1.533

***

Record 9
5
Lattice="4.718 0.000 0.000 0.000 4.718 0.000 0.000 0.000 4.718" Properties=species:S:1:pos:R:3 comment="Fe3OsI | Alexandria | PBE | relaxed" density_g_cm3=7.66 relative_energy_ev_per_atom=0.0000 dos_ef_per_ev_cell=6.6 spacegroup="Pm-3m, No. 221" final_energy_ev_per_cell=-31.196 e_form_raw_kj_per_mol_atoms=134.54 pbc="T T T"
Fe 0.000 0.000 2.359
Fe 0.000 2.359 0.000
Fe 2.359 0.000 0.000
Os 0.000 0.000 0.000
I 2.359 2.359 2.359

***

Record 10
5
Lattice="3.983 0.000 0.000 0.000 3.983 0.000 0.000 0.000 3.856" Properties=species:S:1:pos:R:3 comment="AlSi2OsC | Alexandria | PBE | relaxed" density_g_cm3=7.75 dos_ef_per_ev_cell=2.7 spacegroup="P4/mmm, No. 123" final_energy_ev_per_cell=-31.781 e_form_raw_kj_per_mol_atoms=62.92 pbc="T T T"
Al 0.000 0.000 0.000
Si 0.000 1.991 1.928
Si 1.991 0.000 1.928
Os 1.991 1.991 0.000
C 0.000 0.000 1.928

***

> Number 9 is which compound?

Fe3OsI